# 1
DFT (PBE) results for crystalline ScRe2Cl at its relaxed geometry.

```
data_ScRe2Cl
_space_group_name_H-M_alt 'P 4 m m'
_space_group_IT_number 99
_cell_length_a 3.079
_cell_length_b 3.079
_cell_length_c 8.922
_cell_angle_alpha 90.00
_cell_angle_beta 90.00
_cell_angle_gamma 90.00
loop_
_space_group_symop_operation_xyz
'x,y,z'
'-y,x,z'
'-x,-y,z'
'y,-x,z'
'-x,y,z'
'y,x,z'
'x,-y,z'
'-y,-x,z'
loop_
_atom_site_label
_atom_site_type_symbol
_atom_site_fract_x
_atom_site_fract_y
_atom_site_fract_z
Sc1 Sc 0.000 0.000 0.000
Re1 Re 0.000 0.000 0.623
Re2 Re 0.500 0.500 0.769
Cl1 Cl 0.500 0.500 0.185
```

Output
**Offset from the most stable computed form**: 47 meV/atom
**Calculated total energy**: -8.484 eV/atom
**Total moment**: 0.00 μB per cell

# 2
DFT (PBE) results for crystalline Sc2ReCl at its relaxed geometry.

```
data_Sc2ReCl
_space_group_name_H-M_alt 'P m m 2'
_space_group_IT_number 25
_cell_length_a 3.135
_cell_length_b 4.531
_cell_length_c 5.391
_cell_angle_alpha 90.00
_cell_angle_beta 90.00
_cell_angle_gamma 90.00
loop_
_space_group_symop_operation_xyz
'x,y,z'
'-x,-y,z'
'-x,y,z'
'x,-y,z'
loop_
_atom_site_label
_atom_site_type_symbol
_atom_site_fract_x
_atom_site_fract_y
_atom_site_fract_z
Sc1 Sc 0.000 0.000 0.000
Sc2 Sc 0.500 0.500 0.494
Re1 Re 0.500 0.500 0.996
Cl1 Cl 0.000 0.000 0.499
```

Output
**Offset from the most stable computed form**: 420 meV/atom
**Calculated total energy**: -7.038 eV/atom
**Total moment**: 0.00 μB per cell

# 3
DFT (PBE) results for crystalline Sc2ReCl at its relaxed geometry.

```
data_Sc2ReCl
_space_group_name_H-M_alt 'R -3 m'
_space_group_IT_number 166
_space_group_name_Hall '-R 3 2"'
_cell_length_a 3.0133
_cell_length_b 3.0133
_cell_length_c 28.2881
_cell_angle_alpha 90.00
_cell_angle_beta 90.00
_cell_angle_gamma 120.00
loop_
_atom_site_label
_atom_site_type_symbol
_atom_site_fract_x
_atom_site_fract_y
_atom_site_fract_z
Sc1 Sc 0.0000 0.0000 0.0921
Re1 Re 0.0000 0.0000 0.0000
Cl1 Cl 0.0000 0.0000 0.5000
```

Output
**Offset from the most stable computed form**: 730 meV/atom
**Calculated total energy**: -6.728 eV/atom
**Total moment**: 0.06 μB per cell

# 4
DFT (PBE) results for crystalline ScReCl2 at its relaxed geometry.

```
data_ScReCl2
_space_group_name_H-M_alt 'I -4 m 2'
_space_group_IT_number 119
_space_group_name_Hall 'I -4 -2'
_cell_length_a 3.656
_cell_length_b 3.656
_cell_length_c 10.390
_cell_angle_alpha 90.00
_cell_angle_beta 90.00
_cell_angle_gamma 90.00
loop_
_atom_site_label
_atom_site_type_symbol
_atom_site_fract_x
_atom_site_fract_y
_atom_site_fract_z
Sc1 Sc 0.000 0.000 0.000
Re1 Re 0.000 0.500 0.250
Cl1 Cl 0.000 0.000 0.500
Cl2 Cl 0.000 0.500 0.750
```

Output
**Offset from the most stable computed form**: 836 meV/atom
**Calculated total energy**: -5.304 eV/atom
**Total moment**: 2.22 μB per cell

# 5
DFT (PBE) results for crystalline ScRe2Cl at its relaxed geometry.

```
data_ScRe2Cl
_space_group_name_H-M_alt 'I -4 2 d'
_space_group_IT_number 122
_space_group_name_Hall 'I -4 2bw'
_cell_length_a 7.563
_cell_length_b 7.563
_cell_length_c 4.818
_cell_angle_alpha 90.00
_cell_angle_beta 90.00
_cell_angle_gamma 90.00
loop_
_atom_site_label
_atom_site_type_symbol
_atom_site_fract_x
_atom_site_fract_y
_atom_site_fract_z
Sc1 Sc 0.000 0.000 0.000
Re1 Re 0.173 0.250 0.625
Cl1 Cl 0.000 0.000 0.500
```

Output
**Offset from the most stable computed form**: 1078 meV/atom
**Calculated total energy**: -7.452 eV/atom
**Total moment**: 0.01 μB per cell

# 6
DFT (PBE) results for crystalline ScReCl2 at its relaxed geometry.

```
data_ScReCl2
_space_group_name_H-M_alt 'P m m m'
_space_group_IT_number 47
_cell_length_a 2.918
_cell_length_b 4.290
_cell_length_c 5.721
_cell_angle_alpha 90.00
_cell_angle_beta 90.00
_cell_angle_gamma 90.00
loop_
_space_group_symop_operation_xyz
'x,y,z'
'-x,-y,-z'
'-x,-y,z'
'x,y,-z'
'x,-y,-z'
'-x,y,z'
'-x,y,-z'
'x,-y,z'
loop_
_atom_site_label
_atom_site_type_symbol
_atom_site_fract_x
_atom_site_fract_y
_atom_site_fract_z
Sc1 Sc 0.000 0.000 0.000
Re1 Re 0.500 0.000 0.500
Cl1 Cl 0.000 0.500 0.500
Cl2 Cl 0.500 0.500 0.000
```

Output
**Offset from the most stable computed form**: 555 meV/atom
**Calculated total energy**: -5.585 eV/atom
**Total moment**: 0.64 μB per cell

# 7
DFT (PBE) results for crystalline ScRe2Cl at its relaxed geometry.

```
data_ScRe2Cl
_space_group_name_H-M_alt 'P m m m'
_space_group_IT_number 47
_cell_length_a 3.108
_cell_length_b 4.091
_cell_length_c 5.518
_cell_angle_alpha 90.00
_cell_angle_beta 90.00
_cell_angle_gamma 90.00
loop_
_space_group_symop_operation_xyz
'x,y,z'
'-x,-y,-z'
'-x,-y,z'
'x,y,-z'
'x,-y,-z'
'-x,y,z'
'-x,y,-z'
'x,-y,z'
loop_
_atom_site_label
_atom_site_type_symbol
_atom_site_fract_x
_atom_site_fract_y
_atom_site_fract_z
Sc1 Sc 0.000 0.000 0.000
Re1 Re 0.000 0.500 0.500
Re2 Re 0.500 0.000 0.500
Cl1 Cl 0.500 0.500 0.000
```

Output
**Offset from the most stable computed form**: 500 meV/atom
**Calculated total energy**: -8.030 eV/atom
**Total moment**: 0.00 μB per cell

# 8
DFT (PBE) results for crystalline ScRe2Cl2 at its relaxed geometry.

```
data_ScRe2Cl2
_space_group_name_H-M_alt 'I 4/m m m'
_space_group_IT_number 139
_space_group_name_Hall '-I 4 2'
_cell_length_a 4.050
_cell_length_b 4.050
_cell_length_c 11.691
_cell_angle_alpha 90.00
_cell_angle_beta 90.00
_cell_angle_gamma 90.00
loop_
_atom_site_label
_atom_site_type_symbol
_atom_site_fract_x
_atom_site_fract_y
_atom_site_fract_z
Sc1 Sc 0.000 0.000 0.000
Re1 Re 0.000 0.000 0.403
Cl1 Cl 0.000 0.500 0.250
```

Output
**Offset from the most stable computed form**: 0 meV/atom
**Calculated total energy**: -6.575 eV/atom
**Total moment**: 0.00 μB per cell

# 9
DFT (PBE) results for crystalline Sc2ReCl at its relaxed geometry.

```
data_Sc2ReCl
_space_group_name_H-M_alt 'C m m m'
_space_group_IT_number 65
_space_group_name_Hall '-C 2 2'
_cell_length_a 4.576
_cell_length_b 4.602
_cell_length_c 7.432
_cell_angle_alpha 90.00
_cell_angle_beta 90.00
_cell_angle_gamma 90.00
loop_
_atom_site_label
_atom_site_type_symbol
_atom_site_fract_x
_atom_site_fract_y
_atom_site_fract_z
Sc1 Sc 0.000 0.000 0.210
Re1 Re 0.000 0.500 0.000
Cl1 Cl 0.000 0.500 0.500
```

Output
**Offset from the most stable computed form**: 81 meV/atom
**Calculated total energy**: -7.376 eV/atom
**Total moment**: 0.00 μB per cell

# 10
DFT (PBE) results for crystalline ScReCl2 at its relaxed geometry.

```
data_ScReCl2
_space_group_name_H-M_alt 'P 1 m 1'
_space_group_IT_number 6
_cell_length_a 4.059
_cell_length_b 3.173
_cell_length_c 7.504
_cell_angle_alpha 90.00
_cell_angle_beta 102.24
_cell_angle_gamma 90.00
loop_
_space_group_symop_operation_xyz
'x,y,z'
'x,-y,z'
loop_
_atom_site_label
_atom_site_type_symbol
_atom_site_fract_x
_atom_site_fract_y
_atom_site_fract_z
Sc1 Sc 0.000 0.000 0.000
Re1 Re 0.557 0.500 0.142
Cl1 Cl 0.314 0.500 0.812
Cl2 Cl 0.678 0.000 0.385
```

Output
**Offset from the most stable computed form**: 53 meV/atom
**Calculated total energy**: -6.086 eV/atom
**Total moment**: 0.00 μB per cell

# 11
DFT (PBE) results for crystalline ScReSi2Cl at its relaxed geometry.

```
data_ScReSi2Cl
_space_group_name_H-M_alt 'P 4/m m m'
_space_group_IT_number 123
_space_group_name_Hall '-P 4 2'
_cell_length_a 4.731
_cell_length_b 4.731
_cell_length_c 4.279
_cell_angle_alpha 90.00
_cell_angle_beta 90.00
_cell_angle_gamma 90.00
loop_
_atom_site_label
_atom_site_type_symbol
_atom_site_fract_x
_atom_site_fract_y
_atom_site_fract_z
Sc1 Sc 0.000 0.000 0.000
Re1 Re 0.500 0.500 0.000
Si1 Si 0.000 0.500 0.500
Cl1 Cl 0.500 0.500 0.500
```

Output
**Calculated total energy**: -5.187 eV/atom
**Total moment**: 0.00 μB per cell

# 12
DFT (PBE) results for crystalline ScReSnCl2 at its relaxed geometry.

```
data_ScReSnCl2
_space_group_name_H-M_alt 'P 4/m m m'
_space_group_IT_number 123
_space_group_name_Hall '-P 4 2'
_cell_length_a 5.162
_cell_length_b 5.162
_cell_length_c 6.033
_cell_angle_alpha 90.00
_cell_angle_beta 90.00
_cell_angle_gamma 90.00
loop_
_atom_site_label
_atom_site_type_symbol
_atom_site_fract_x
_atom_site_fract_y
_atom_site_fract_z
Sc1 Sc 0.000 0.000 0.000
Re1 Re 0.500 0.500 0.000
Sn1 Sn 0.000 0.000 0.500
Cl1 Cl 0.000 0.500 0.500
```

Output
**Calculated total energy**: -4.265 eV/atom
**Total moment**: 3.68 μB per cell